Material: Hf3RuPt
Method: DFT, PBE
State: optimized geometry

Results
For the energy above the most stable polymorph in this dataset, the calculation gives 0 meV per atom. For the total energy, the calculation gives -43.8 eV per cell.

Cell lengths 4.8805, 4.8805, 4.8805 Å; angles 90.00, 90.00, 90.00 degrees
Atoms (fractional coordinates):
Hf: 0.0000 0.0000 0.5000
Hf: 0.0000 0.5000 0.0000
Hf: 0.5000 0.0000 0.0000
Ru: 0.0000 0.0000 0.0000
Pt: 0.5000 0.5000 0.5000


Material: HfRu2Pt
Method: DFT, PBE
State: optimized geometry

Results
For the total energy, the calculation gives -69.0 eV per cell.

Cell lengths 9.7266, 9.7266, 9.7266 Å; angles 156.96, 156.96, 32.82 degrees
Atoms (fractional coordinates):
Hf: 0.0000 0.0000 0.0000
Hf: 0.7500 0.2500 0.5000
Ru: 0.1748 0.6250 0.0498
Ru: 0.3750 0.4248 0.5498
Ru: 0.5752 0.1250 0.9502
Ru: 0.8750 0.8252 0.4502
Pt: 0.2500 0.7500 0.5000
Pt: 0.5000 0.5000 0.0000


Material: HfRu2Pt
Method: DFT, PBE
State: optimized geometry

Results
For the total energy, the calculation gives -35.4 eV per cell.

Cell lengths 4.4897, 4.4897, 4.4897 Å; angles 60.00, 60.00, 60.00 degrees
Atoms (fractional coordinates):
Hf: 0.0000 0.0000 0.0000
Ru: 0.2500 0.2500 0.2500
Ru: 0.7500 0.7500 0.7500
Pt: 0.5000 0.5000 0.5000


The records above give, respectively, total moment values of 0.00; 0.00; 0.00 μB per formula unit.
The records above give, respectively, DOS at the Fermi energy values of 1.429; 1.035; 1.463 states/eV per atom.
The records above give, respectively, calculated formation energy values of 283; 12; -213 meV/atom.